A) VASP calculation (GGA-PBEsol) on a geometry-optimized Tc2IrPt structure.

Cell: 3.7904 3.7904 4.7503 Å, 113.51 113.51 90.00°
Last column: nearest neighbours and their distance in Å.
Positions (direct):
Ir1 0.5000 0.5000 0.0000  4 Pt 2.68, 8 Tc 2.73
Pt1 0.0000 0.0000 0.0000  4 Ir 2.68, 8 Tc 2.73
Tc1 0.7500 0.2500 0.5000  4 Tc 2.68, 4 Ir 2.73, 4 Pt 2.73
Tc2 0.2500 0.7500 0.5000  4 Tc 2.68, 4 Ir 2.73, 4 Pt 2.73

=====

B) VASP calculation (GGA-PBEsol) on a geometry-optimized Tc2IrPt structure.

Cell: 2.7082 4.3490 4.7793 Å, 90.00 90.00 90.00°
Last column: nearest neighbours and their distance in Å.
Positions (direct):
Ir1 0.5000 0.0000 0.5438  8 Tc 2.69-2.79, 2 Pt 2.70, 2 Ir 2.71
Tc1 0.0000 0.0000 0.0323  4 Tc 2.66-2.71, 4 Ir 2.70-2.79, 4 Pt 2.70
Tc2 0.0000 0.5000 0.7132  4 Tc 2.66-2.71, 4 Ir 2.69, 4 Pt 2.74-2.76
Pt1 0.5000 0.5000 0.2107  2 Ir 2.70, 8 Tc 2.70-2.76, 2 Pt 2.71

=====

Q: Which of them is the most stable? A: B).

=====

A) VASP calculation (GGA-PBEsol) on a geometry-optimized Tl2IrPt structure.

Cell: 3.0576 4.3875 5.6142 Å, 90.00 90.00 90.00°
Last column: nearest neighbours and their distance in Å.
Positions (direct):
Ir1 0.0000 0.0000 0.4445  6 Tl 2.77-2.81, 2 Ir 3.06
Pt1 0.5000 0.5000 0.7985  6 Tl 2.72-2.89
Tl1 0.0000 0.0000 0.9436  4 Pt 2.80, 2 Ir 2.80-2.81, 2 Tl 3.06
Tl2 0.5000 0.5000 0.3134  2 Pt 2.72-2.89, 4 Ir 2.77

=====

B) VASP calculation (GGA-PBEsol) on a geometry-optimized Tl2IrPt structure.

Cell: 4.3366 4.9165 4.3366 Å, 63.83 90.00 116.17°
Last column: nearest neighbours and their distance in Å.
Positions (direct):
Ir1 0.0000 0.0000 0.0000  8 Tl 2.90, 4 Pt 3.07
Pt1 0.5000 0.0000 0.5000  8 Tl 2.90, 4 Ir 3.07
Tl1 0.2500 0.5000 0.2500  4 Pt 2.90, 4 Ir 2.90, 4 Tl 3.07
Tl2 0.7500 0.5000 0.7500  4 Ir 2.90, 4 Pt 2.90, 4 Tl 3.07

=====

C) VASP calculation (GGA-PBEsol) on a geometry-optimized Tl2IrPt structure.

Cell: 3.3587 4.2970 5.4982 Å, 90.00 107.78 90.00°
Last column: nearest neighbours and their distance in Å.
Positions (direct):
Ir1 0.8301 0.0000 0.6601  2 Pt 2.75, 7 Tl 2.79-2.97
Pt1 0.6658 0.5000 0.3316  2 Ir 2.75, 7 Tl 2.82-2.94
Tl1 0.0967 0.0000 0.1933  3 Ir 2.79-2.97, 4 Pt 2.82
Tl2 0.3957 0.5000 0.7914  4 Ir 2.81, 3 Pt 2.83-2.94

=====

Q: Which of them is the most stable? A: C).

=====

A) VASP calculation (GGA-PBEsol) on a geometry-optimized TlIrPt2 structure.

Cell: 2.7760 3.6290 6.7793 Å, 90.00 97.26 90.00°
Last column: nearest neighbours and their distance in Å.
Positions (direct):
Ir1 0.5000 0.5000 0.5000  8 Pt 2.69-2.71, 2 Ir 2.78
Pt1 0.0729 0.0000 0.7140  4 Ir 2.69-2.71, 3 Pt 2.78-2.88, 2 Tl 2.81
Pt2 0.9271 0.0000 0.2860  4 Ir 2.69-2.71, 3 Pt 2.78-2.88, 2 Tl 2.81
Tl1 0.5000 0.5000 0.0000  2 Tl 2.78, 4 Pt 2.81

=====

B) VASP calculation (GGA-PBEsol) on a geometry-optimized TlIrPt2 structure.

Cell: 2.8024 4.8583 5.5690 Å, 115.86 104.57 90.00°
Last column: nearest neighbours and their distance in Å.
Positions (direct):
Ir1 0.2574 0.7574 0.5147  6 Pt 2.68-2.81, 2 Ir 2.80, 2 Tl 2.82
Pt1 0.9945 0.9945 0.9890  2 Ir 2.68, 4 Pt 2.79-2.80, 4 Tl 2.81
Pt2 0.7448 0.2448 0.4897  4 Pt 2.79-2.80, 4 Ir 2.81, 2 Tl 2.85
Tl1 0.5033 0.5033 0.0066  2 Tl 2.80, 6 Pt 2.81-2.85, 2 Ir 2.82

=====

Q: Which of them is the most stable? A: A).

=====

A) VASP calculation (GGA-PBEsol) on a geometry-optimized IrPt2W structure.

Cell: 2.7266 2.7266 7.9641 Å, 90.00 90.00 90.00°
Last column: nearest neighbours and their distance in Å.
Positions (direct):
Ir1 0.5000 0.5000 0.5000  4 Ir 2.73, 8 Pt 2.79
Pt1 0.0000 0.0000 0.7536  4 Pt 2.73, 4 W 2.75, 4 Ir 2.79
Pt2 0.0000 0.0000 0.2464  4 Pt 2.73, 4 W 2.75, 4 Ir 2.79
W1 0.5000 0.5000 0.0000  4 W 2.73, 8 Pt 2.75

=====

B) VASP calculation (GGA-PBEsol) on a geometry-optimized IrPt2W structure.

Cell: 2.7543 2.7543 7.8567 Å, 90.00 90.00 90.00°
Last column: nearest neighbours and their distance in Å.
Positions (direct):
Ir1 0.5000 0.5000 0.7385  4 W 2.67, 4 Ir 2.75, 4 Pt 2.81
W1 0.0000 0.0000 0.5059  4 Ir 2.67, 4 Pt 2.74, 4 W 2.75
Pt1 0.0000 0.0000 0.9956  8 Pt 2.75-2.85, 4 Ir 2.81
Pt2 0.5000 0.5000 0.2600  4 W 2.74, 8 Pt 2.75-2.85

=====

Q: Which of them is the most stable? A: B).